(1)
# Pm3Nd2ScTe6 (PBE, relaxed)
data_Pm3Nd2ScTe6
_cell_length_a 19.310
_cell_length_b 4.408
_cell_length_c 8.900
_cell_angle_alpha 90.00
_cell_angle_beta 102.80
_cell_angle_gamma 90.00
_space_group_name_H-M_alt 'C 1 2/m 1'
_space_group_IT_number 12
loop_
_space_group_symop_operation_xyz
'x,y,z'
'-x,-y,-z'
'-x,y,-z'
'x,-y,z'
'x+1/2,y+1/2,z'
'-x+1/2,-y+1/2,-z'
'-x+1/2,y+1/2,-z'
'x+1/2,-y+1/2,z'
loop_
_atom_site_label
_atom_site_fract_x
_atom_site_fract_y
_atom_site_fract_z
Pm1 0.000 0.000 0.000
Pm2 0.176 0.500 0.338
Nd1 0.169 0.500 0.835
Sc1 0.000 0.000 0.500
Te1 0.003 0.500 0.267
Te2 0.156 0.000 0.576
Te3 0.164 0.000 0.085
# Raw total energy = -130.38 eV for the cell shown
# E_form (uncorrected) = -1.352 eV/atom
# Crystal system = monoclinic

=====

(2)
# Pm3Nd4ScTe8 (PBE, relaxed)
data_Pm3Nd4ScTe8
_cell_length_a 8.8932
_cell_length_b 8.8932
_cell_length_c 21.8634
_cell_angle_alpha 90.00
_cell_angle_beta 90.00
_cell_angle_gamma 120.00
_space_group_name_H-M_alt 'R -3 m'
_space_group_IT_number 166
_space_group_name_Hall '-R 3 2"'
loop_
_atom_site_label
_atom_site_fract_x
_atom_site_fract_y
_atom_site_fract_z
Pm1 0.0000 0.5000 0.0000
Nd1 0.0000 0.0000 0.5000
Nd2 0.0000 0.5000 0.5000
Sc1 0.0000 0.0000 0.0000
Te1 0.0000 0.0000 0.2509
Te2 0.0109 0.5055 0.7464
# Raw total energy = -259.71 eV for the cell shown
# E_form (uncorrected) = -1.361 eV/atom
# Crystal system = trigonal

=====

(3)
# PmNd3Sc2Te6 (PBE, relaxed)
data_PmNd3Sc2Te6
_cell_length_a 19.175
_cell_length_b 4.349
_cell_length_c 8.846
_cell_angle_alpha 90.00
_cell_angle_beta 103.93
_cell_angle_gamma 90.00
_space_group_name_H-M_alt 'C 1 2/m 1'
_space_group_IT_number 12
loop_
_space_group_symop_operation_xyz
'x,y,z'
'-x,-y,-z'
'-x,y,-z'
'x,-y,z'
'x+1/2,y+1/2,z'
'-x+1/2,-y+1/2,-z'
'-x+1/2,y+1/2,-z'
'x+1/2,-y+1/2,z'
loop_
_atom_site_label
_atom_site_fract_x
_atom_site_fract_y
_atom_site_fract_z
Pm1 0.000 0.000 0.000
Nd1 0.000 0.000 0.500
Nd2 0.159 0.500 0.829
Sc1 0.165 0.500 0.329
Te1 0.010 0.500 0.253
Te2 0.170 0.000 0.101
Te3 0.173 0.000 0.569
# Raw total energy = -132.38 eV for the cell shown
# E_form (uncorrected) = -1.302 eV/atom
# Crystal system = monoclinic